(1)
Density functional theory data (PBE) for Th3PaN4 after structural relaxation.

a = 6.267 Å, b = 6.267 Å, c = 3.618 Å
α = 90.00°, β = 90.00°, γ = 109.39°
Positions (direct):
1 Th 0.000 0.000 0.000
2 Th 0.000 0.500 0.500
3 Th 0.500 0.000 0.500
4 Pa 0.500 0.500 0.000
5 N 0.262 0.738 0.000
6 N 0.271 0.271 0.500
7 N 0.729 0.729 0.500
8 N 0.738 0.262 0.000

Output
M_tot in μB per formula unit: 0.00
Uncorrected energy in eV/atom: -9.719
Space group: Cmmm (65)
DOS at the Fermi energy in states/eV/cell: 4.400
Crystal system: orthorhombic

---

(2)
Density functional theory data (PBE) for Mg2H6W after structural relaxation.

a = 4.874 Å, b = 4.874 Å, c = 4.874 Å
α = 60.00°, β = 60.00°, γ = 60.00°
Positions (direct):
1 Mg 0.250 0.250 0.250
2 Mg 0.750 0.750 0.750
3 H 0.238 0.238 0.762
4 H 0.238 0.762 0.238
5 H 0.238 0.762 0.762
6 H 0.762 0.238 0.238
7 H 0.762 0.238 0.762
8 H 0.762 0.762 0.238
9 W 0.500 0.500 0.500

Output
M_tot in μB per formula unit: 2.03
Uncorrected energy in eV/atom: -3.981
Space group: Fm-3m (225)
DOS at the Fermi energy in states/eV/cell: 2.045
Crystal system: cubic

---

(3)
Density functional theory data (PBE) for MgZnRu2 after structural relaxation.

a = 5.612 Å, b = 5.612 Å, c = 5.612 Å
α = 102.02°, β = 102.02°, γ = 125.70°
Positions (direct):
1 Mg 0.000 0.000 0.000
2 Mg 0.750 0.250 0.500
3 Zn 0.250 0.750 0.500
4 Zn 0.500 0.500 0.000
5 Ru 0.143 0.625 0.018
6 Ru 0.375 0.393 0.518
7 Ru 0.607 0.125 0.982
8 Ru 0.875 0.857 0.482

Output
M_tot in μB per formula unit: 0.00
Uncorrected energy in eV/atom: -4.839
Space group: I-42d (122)
DOS at the Fermi energy in states/eV/cell: 7.613
Crystal system: tetragonal
E_form in meV per atom: 516.4

---

(4)
Density functional theory data (PBE) for Ac5Si2Ag2 after structural relaxation.

a = 9.465 Å, b = 9.465 Å, c = 8.196 Å
α = 90.00°, β = 90.00°, γ = 52.14°
Positions (direct):
1 Ac 0.000 0.000 0.000
2 Ac 0.046 0.687 0.674
3 Ac 0.187 0.546 0.174
4 Ac 0.313 0.954 0.674
5 Ac 0.454 0.813 0.174
6 Ac 0.500 0.500 0.500
7 Ac 0.546 0.187 0.826
8 Ac 0.687 0.046 0.326
9 Ac 0.813 0.454 0.826
10 Ac 0.954 0.313 0.326
11 Si 0.110 0.890 0.391
12 Si 0.390 0.610 0.891
13 Si 0.610 0.390 0.109
14 Si 0.890 0.110 0.609
15 Ag 0.211 0.211 0.000
16 Ag 0.289 0.289 0.500
17 Ag 0.711 0.711 0.500
18 Ag 0.789 0.789 0.000

Output
M_tot in μB per formula unit: 0.00
Uncorrected energy in eV/atom: -4.479
Space group: Cmce (64)
DOS at the Fermi energy in states/eV/cell: 19.156
Crystal system: orthorhombic